Compound: K3Mn6F20
Source: Alexandria via LeMat-Bulk
Functional: PBE with a Hubbard U
Structure: optimized geometry

The structure in POSCAR format:
```
K3Mn6F20
1.0
0.0000 5.5282 5.5282
5.5282 0.0000 5.5282
5.5282 5.5282 0.0000
K Mn F
3 6 20
direct
0.0000 0.0000 0.0000
0.2500 0.2500 0.2500
0.7500 0.7500 0.7500
0.2666 0.2666 0.7334
0.2666 0.7334 0.2666
0.2666 0.7334 0.7334
0.7334 0.2666 0.2666
0.7334 0.2666 0.7334
0.7334 0.7334 0.2666
0.0000 0.0000 0.3285
0.0000 0.0000 0.6715
0.0000 0.3285 0.0000
0.0000 0.3285 0.6715
0.0000 0.6715 0.0000
0.0000 0.6715 0.3285
0.1652 0.6116 0.6116
0.3285 0.0000 0.0000
0.3285 0.0000 0.6715
0.3285 0.6715 0.0000
0.3884 0.3884 0.3884
0.3884 0.3884 0.8348
0.3884 0.8348 0.3884
0.6116 0.1652 0.6116
0.6116 0.6116 0.1652
0.6116 0.6116 0.6116
0.6715 0.0000 0.0000
0.6715 0.0000 0.3285
0.6715 0.3285 0.0000
0.8348 0.3884 0.3884
```

Results
D(E_F) ... 0.351 states/eV per atom
Mass density ... 4064 kg/m³
Magnetization ... 25.00 μB/f.u.
Raw total energy ... -151.88 eV for the cell shown